No. 1
The following is a DFT calculation (GGA-PBE) of an optimized crystal structure of TlInGa2Rh.

Cell: 5.197 5.075 5.197 Å, 90.00 90.00 90.00°
Fractional positions:
Tl (0.500, 0.500, 0.500)
Rh (0.000, 0.500, 0.000)
Ga (0.000, 0.000, 0.500)
Ga (0.500, 0.000, 0.000)
In (0.000, 0.000, 0.000)

## Properties
Total magnetization ... 0.0 μB/cell
Formation enthalpy at 0 K ... 295 kJ/mol of formula units
Distance to the lowest polymorph of the same formula ... 794.1 meV per atom
DOS at the Fermi energy ... 0.69 states/eV per atom

No. 2
The following is a DFT calculation (GGA-PBE) of an optimized crystal structure of K3Hg5.

Cell: 6.589 9.466 10.138 Å, 83.51 71.04 69.63°
Fractional positions:
K (0.877, 0.389, 0.679)
K (0.733, 0.389, 0.321)
K (0.806, 0.889, 0.821)
K (0.305, 0.889, 0.179)
K (0.570, 0.861, 0.500)
K (0.320, 0.361, 0.000)
Hg (0.358, 0.722, 0.862)
Hg (0.920, 0.722, 0.138)
Hg (0.470, 0.222, 0.638)
Hg (0.308, 0.222, 0.362)
Hg (0.758, 0.077, 0.136)
Hg (0.164, 0.077, 0.864)
Hg (0.144, 0.577, 0.364)
Hg (0.278, 0.577, 0.636)
Hg (0.977, 0.046, 0.500)
Hg (0.727, 0.546, 0.000)

## Properties
Total magnetization ... 0.0 μB/cell
Formation enthalpy at 0 K ... -196 kJ/mol of formula units
Distance to the lowest polymorph of the same formula ... 0.0 meV per atom
DOS at the Fermi energy ... 0.40 states/eV per atom

No. 3
The following is a DFT calculation (GGA-PBE) of an optimized crystal structure of BaScCo.

Cell: 3.691 3.691 5.951 Å, 90.00 90.00 90.00°
Fractional positions:
Ba (0.000, 0.000, 0.500)
Sc (0.500, 0.500, 0.000)
Co (0.000, 0.000, 0.000)

## Properties
Total magnetization ... 0.0 μB/cell
Formation enthalpy at 0 K ... 58 kJ/mol of formula units
Distance to the lowest polymorph of the same formula ... 204.8 meV per atom
DOS at the Fermi energy ... 0.81 states/eV per atom

No. 4
The following is a DFT calculation (GGA-PBE) of an optimized crystal structure of Sc2AsPd2.

Cell: 7.047 7.047 3.720 Å, 90.00 90.00 90.00°
Fractional positions:
Sc (0.172, 0.672, 0.500)
Sc (0.672, 0.828, 0.500)
Sc (0.828, 0.328, 0.500)
Sc (0.328, 0.172, 0.500)
As (0.000, 0.000, 0.000)
As (0.500, 0.500, 0.000)
Pd (0.366, 0.866, 0.000)
Pd (0.866, 0.634, 0.000)
Pd (0.634, 0.134, 0.000)
Pd (0.134, 0.366, 0.000)

## Properties
Total magnetization ... 0.0 μB/cell
Formation enthalpy at 0 K ... -391 kJ/mol of formula units
Distance to the lowest polymorph of the same formula ... 0.0 meV per atom
DOS at the Fermi energy ... 0.69 states/eV per atom